(1)
## TaCr2BRh (GGA-PBEsol)

Data for crystalline TaCr2BRh at its relaxed geometry.

Cell: 4.636 4.636 4.570 Å, 90.00 90.00 90.00°
Space group P4/mmm (No. 123)
Symmetry-distinct sites (fractional):
Ta (0.000, 0.000, 0.000) [1 per cell]
Cr (0.000, 0.500, 0.000) [2 per cell]
B (0.500, 0.500, 0.500) [1 per cell]
Rh (0.000, 0.000, 0.500) [1 per cell]

Summary:
Mass density ... 6.740 g cm⁻³

(2)
## CrBSb2Te (GGA-PBEsol)

Data for crystalline CrBSb2Te at its relaxed geometry.

Cell: 4.926 4.926 5.019 Å, 90.00 90.00 90.00°
Space group P4/mmm (No. 123)
Symmetry-distinct sites (fractional):
Cr (0.000, 0.000, 0.000) [1 per cell]
B (0.500, 0.500, 0.500) [1 per cell]
Sb (0.000, 0.500, 0.000) [2 per cell]
Te (0.000, 0.000, 0.500) [1 per cell]

Summary:
Mass density ... 5.917 g cm⁻³

(3)
## CrBSe2 (GGA-PBEsol)

Data for crystalline CrBSe2 at its relaxed geometry.

Cell: 3.2543 3.2543 21.9454 Å, 90.00 90.00 120.00°
Space group R-3m (No. 166, hexagonal axes)
Symmetry-distinct sites (fractional):
Cr (0.0000, 0.0000, 0.0000) [3 per cell]
B (0.0000, 0.0000, 0.5000) [3 per cell]
Se (0.0000, 0.0000, 0.1092) [6 per cell]

Summary:
Mass density ... 5.463 g cm⁻³

(4)
## CrB2Se (GGA-PBEsol)

Data for crystalline CrB2Se at its relaxed geometry.

Cell: 4.925 4.925 8.790 Å, 90.00 90.00 90.00°
Space group I-42d (No. 122)
Symmetry-distinct sites (fractional):
Cr (0.000, 0.000, 0.000) [4 per cell]
B (0.249, 0.750, 0.625) [8 per cell]
Se (0.000, 0.000, 0.500) [4 per cell]

Summary:
Mass density ... 4.753 g cm⁻³

(5)
## Cr2SiB (GGA-PBEsol)

Data for crystalline Cr2SiB at its relaxed geometry.

Cell: 6.285 6.285 4.339 Å, 90.00 90.00 90.00°
Space group I-42d (No. 122)
Symmetry-distinct sites (fractional):
Cr (0.181, 0.750, 0.125) [8 per cell]
Si (0.000, 0.000, 0.500) [4 per cell]
B (0.000, 0.000, 0.000) [4 per cell]

Summary:
Mass density ... 5.538 g cm⁻³

(6)
## Sr2CrSnB (GGA-PBEsol)

Data for crystalline Sr2CrSnB at its relaxed geometry.

Cell: 5.590 5.590 4.409 Å, 90.00 90.00 90.00°
Space group P4/mmm (No. 123)
Symmetry-distinct sites (fractional):
Sr (0.000, 0.500, 0.000) [2 per cell]
Cr (0.000, 0.000, 0.500) [1 per cell]
Sn (0.500, 0.500, 0.500) [1 per cell]
B (0.500, 0.500, 0.000) [1 per cell]

Summary:
Mass density ... 4.300 g cm⁻³

| no. | E_tot (eV/atom) | size of the total moment (μB per formula unit) | V (Å³/atom) |
| --- | --- | --- | --- |
| 1 | -7.212 | 5.71 | 19.643 |
| 2 | -4.700 | 1.73 | 24.357 |
| 3 | -5.591 | 3.72 | 16.773 |
| 4 | -6.162 | 1.84 | 13.327 |
| 5 | -8.128 | 0.00 | 10.712 |
| 6 | -4.480 | 5.19 | 27.551 |